The following is a DFT calculation (PBE+U) of BaSrNdCrO6 after structural relaxation.

Cell lengths 5.8993, 5.9030, 8.4810 Å; angles 89.98, 89.75, 88.69 degrees
With the nearest neighbours (Å) after each atom.
Space group P-1 (No. 2)
Inequivalent atoms, fractional coordinates:
Ba (0.0135, 0.4908, 0.2502) [2 per cell]  10 O 2.78-3.09
Sr (0.4827, 0.0106, 0.7509) [2 per cell]  6 O 2.61-2.92
Nd (0.0000, 0.0000, 0.5000) [1 per cell]  6 O 2.32-2.34
Nd (0.5000, 0.5000, 0.0000) [1 per cell]  6 O 2.32-2.34
Cr (0.0000, 0.0000, 0.0000) [1 per cell]  6 O 1.82-1.97
Cr (0.5000, 0.5000, 0.5000) [1 per cell]  6 O 1.82-1.96
O (0.0373, 0.0287, 0.7718) [2 per cell]  1 Cr 1.95
O (0.1845, 0.7477, 0.9956) [2 per cell]  1 Cr 1.82
O (0.2481, 0.6848, 0.5076) [2 per cell]  1 Cr 1.82
O (0.2660, 0.1892, 0.0313) [2 per cell]  1 Cr 1.97
O (0.3088, 0.2362, 0.4677) [2 per cell]  1 Cr 1.96
O (0.4831, 0.4524, 0.7282) [2 per cell]  1 Cr 1.96

Values from the calculation:
The density comes out at 5.82 g/cm3. As for the excess energy over the best structure of this formula in the dataset: 0 meV/atom. The calculation puts the spin magnetization at 0.1091 μB per atom.